1.
Density functional theory data (PBE) for an optimized crystal structure of TiFeTeP2.

Cell and atoms, written as CIF:
```
data_TiFeTeP2
_cell_length_a 4.177
_cell_length_b 4.177
_cell_length_c 5.171
_cell_angle_alpha 90.00
_cell_angle_beta 90.00
_cell_angle_gamma 90.00
_symmetry_space_group_name_H-M 'P 4/m m m'
_symmetry_Int_Tables_number 123
_symmetry_space_group_name_Hall '-P 4 2'
loop_
_atom_site_label
_atom_site_type_symbol
_atom_site_fract_x
_atom_site_fract_y
_atom_site_fract_z
Ti1 Ti 0.000 0.000 0.000
Fe1 Fe 0.000 0.000 0.500
Te1 Te 0.500 0.500 0.000
P1 P 0.000 0.500 0.500
```

- Formation energy without anion corrections: 0.088 eV/atom

***

2.
Density functional theory data (PBE) for an optimized crystal structure of TiFe2P2.

Cell and atoms, written as CIF:
```
data_TiFe2P2
_cell_length_a 6.654
_cell_length_b 6.654
_cell_length_c 2.616
_cell_angle_alpha 90.00
_cell_angle_beta 90.00
_cell_angle_gamma 90.00
_symmetry_space_group_name_H-M 'P 4/m b m'
_symmetry_Int_Tables_number 127
_symmetry_space_group_name_Hall '-P 4 2ab'
loop_
_atom_site_label
_atom_site_type_symbol
_atom_site_fract_x
_atom_site_fract_y
_atom_site_fract_z
Ti1 Ti 0.000 0.000 0.000
Fe1 Fe 0.141 0.359 0.500
P1 P 0.153 0.653 0.000
```

- E_form: -504.1 meV per atom

***

3.
Density functional theory data (PBE) for an optimized crystal structure of TiFeP2.

Cell and atoms, written as CIF:
```
data_TiFeP2
_cell_length_a 3.5376
_cell_length_b 3.5376
_cell_length_c 14.7500
_cell_angle_alpha 90.00
_cell_angle_beta 90.00
_cell_angle_gamma 120.00
_symmetry_space_group_name_H-M 'R -3 m'
_symmetry_Int_Tables_number 166
_symmetry_space_group_name_Hall '-R 3 2"'
loop_
_atom_site_label
_atom_site_type_symbol
_atom_site_fract_x
_atom_site_fract_y
_atom_site_fract_z
Ti1 Ti 0.0000 0.0000 0.0000
Fe1 Fe 0.0000 0.0000 0.5000
P1 P 0.0000 0.0000 0.2345
```

- E_form: -617.2 meV per atom
- Offset from the most stable computed form: 0 meV per atom

***

4.
Density functional theory data (PBE) for an optimized crystal structure of TiFeP2.

Cell and atoms, written as CIF:
```
data_TiFeP2
_cell_length_a 4.257
_cell_length_b 4.257
_cell_length_c 13.830
_cell_angle_alpha 90.00
_cell_angle_beta 90.00
_cell_angle_gamma 90.00
_symmetry_space_group_name_H-M 'I -4 2 d'
_symmetry_Int_Tables_number 122
_symmetry_space_group_name_Hall 'I -4 2bw'
loop_
_atom_site_label
_atom_site_type_symbol
_atom_site_fract_x
_atom_site_fract_y
_atom_site_fract_z
Ti1 Ti 0.000 0.000 0.000
Fe1 Fe 0.000 0.000 0.500
P1 P 0.170 0.250 0.625
```

- E_form: -234.3 meV per atom
- Offset from the most stable computed form: 383 meV per atom

***

5.
Density functional theory data (PBE) for an optimized crystal structure of TiFe2P.

Cell and atoms, written as CIF:
```
data_TiFe2P
_cell_length_a 6.584
_cell_length_b 6.584
_cell_length_c 4.929
_cell_angle_alpha 90.00
_cell_angle_beta 90.00
_cell_angle_gamma 90.00
_symmetry_space_group_name_H-M 'I -4 2 d'
_symmetry_Int_Tables_number 122
_symmetry_space_group_name_Hall 'I -4 2bw'
loop_
_atom_site_label
_atom_site_type_symbol
_atom_site_fract_x
_atom_site_fract_y
_atom_site_fract_z
Ti1 Ti 0.000 0.000 0.000
Fe1 Fe 0.176 0.250 0.625
P1 P 0.000 0.000 0.500
```

- E_form: -37.0 meV per atom

***

6.
Density functional theory data (PBE) for an optimized crystal structure of TiFe2P.

Cell and atoms, written as CIF:
```
data_TiFe2P
_cell_length_a 3.571
_cell_length_b 15.645
_cell_length_c 3.633
_cell_angle_alpha 90.00
_cell_angle_beta 90.00
_cell_angle_gamma 90.00
_symmetry_space_group_name_H-M 'C m c m'
_symmetry_Int_Tables_number 63
_symmetry_space_group_name_Hall '-C 2c 2'
loop_
_atom_site_label
_atom_site_type_symbol
_atom_site_fract_x
_atom_site_fract_y
_atom_site_fract_z
Ti1 Ti 0.000 0.105 0.250
Fe1 Fe 0.000 0.251 0.750
Fe2 Fe 0.000 0.467 0.250
P1 P 0.000 0.329 0.250
```

- E_form: -530.7 meV per atom

***

7.
Density functional theory data (PBE) for an optimized crystal structure of TiFeP3.

Cell and atoms, written as CIF:
```
data_TiFeP3
_cell_length_a 4.645
_cell_length_b 4.645
_cell_length_c 4.645
_cell_angle_alpha 90.00
_cell_angle_beta 90.00
_cell_angle_gamma 90.00
_symmetry_space_group_name_H-M 'P m -3 m'
_symmetry_Int_Tables_number 221
_symmetry_space_group_name_Hall '-P 4 2 3'
loop_
_atom_site_label
_atom_site_type_symbol
_atom_site_fract_x
_atom_site_fract_y
_atom_site_fract_z
Ti1 Ti 0.000 0.000 0.000
Fe1 Fe 0.500 0.500 0.500
P1 P 0.000 0.000 0.500
```

- E_form: 667.6 meV per atom
- Offset from the most stable computed form: 254 meV per atom

***

8.
Density functional theory data (PBE) for an optimized crystal structure of Ti2Fe2P.

Cell and atoms, written as CIF:
```
data_Ti2Fe2P
_cell_length_a 5.611
_cell_length_b 5.611
_cell_length_c 4.175
_cell_angle_alpha 90.00
_cell_angle_beta 90.00
_cell_angle_gamma 90.00
_symmetry_space_group_name_H-M 'P 4/m b m'
_symmetry_Int_Tables_number 127
_symmetry_space_group_name_Hall '-P 4 2ab'
loop_
_atom_site_label
_atom_site_type_symbol
_atom_site_fract_x
_atom_site_fract_y
_atom_site_fract_z
Ti1 Ti 0.181 0.319 0.000
Fe1 Fe 0.140 0.640 0.500
P1 P 0.000 0.000 0.500
```

- E_form: -457.3 meV per atom

***

9.
Density functional theory data (PBE) for an optimized crystal structure of Ti3Fe4P4.

Cell and atoms, written as CIF:
```
data_Ti3Fe4P4
_cell_length_a 3.569
_cell_length_b 6.370
_cell_length_c 11.797
_cell_angle_alpha 90.00
_cell_angle_beta 90.00
_cell_angle_gamma 90.00
_symmetry_space_group_name_H-M 'I m m m'
_symmetry_Int_Tables_number 71
_symmetry_space_group_name_Hall '-I 2 2'
loop_
_atom_site_label
_atom_site_type_symbol
_atom_site_fract_x
_atom_site_fract_y
_atom_site_fract_z
Ti1 Ti 0.000 0.000 0.000
Ti2 Ti 0.000 0.500 0.118
Fe1 Fe 0.000 0.301 0.325
P1 P 0.000 0.000 0.221
P2 P 0.000 0.204 0.500
```

- E_form: -931.1 meV per atom

***

10.
Density functional theory data (PBE) for an optimized crystal structure of TiFeP3.

Cell and atoms, written as CIF:
```
data_TiFeP3
_cell_length_a 4.371
_cell_length_b 4.371
_cell_length_c 4.371
_cell_angle_alpha 90.00
_cell_angle_beta 90.00
_cell_angle_gamma 90.00
_symmetry_space_group_name_H-M 'P m -3 m'
_symmetry_Int_Tables_number 221
_symmetry_space_group_name_Hall '-P 4 2 3'
loop_
_atom_site_label
_atom_site_type_symbol
_atom_site_fract_x
_atom_site_fract_y
_atom_site_fract_z
Ti1 Ti 0.000 0.000 0.000
Fe1 Fe 0.500 0.500 0.500
P1 P 0.000 0.500 0.500
```

- E_form: 413.9 meV per atom
- Offset from the most stable computed form: 0 meV per atom

***

11.
Density functional theory data (PBE) for an optimized crystal structure of TiFeP2.

Cell and atoms, written as CIF:
```
data_TiFeP2
_cell_length_a 5.909
_cell_length_b 5.909
_cell_length_c 5.909
_cell_angle_alpha 90.00
_cell_angle_beta 90.00
_cell_angle_gamma 90.00
_symmetry_space_group_name_H-M 'F m -3 m'
_symmetry_Int_Tables_number 225
_symmetry_space_group_name_Hall '-F 4 2 3'
loop_
_atom_site_label
_atom_site_type_symbol
_atom_site_fract_x
_atom_site_fract_y
_atom_site_fract_z
Ti1 Ti 0.000 0.000 0.000
Fe1 Fe 0.000 0.000 0.500
P1 P 0.250 0.250 0.250
```

- E_form: -387.7 meV per atom
- Offset from the most stable computed form: 230 meV per atom

***

12.
Density functional theory data (PBE) for an optimized crystal structure of Ti3Fe5P4.

Cell and atoms, written as CIF:
```
data_Ti3Fe5P4
_cell_length_a 5.924
_cell_length_b 3.579
_cell_length_c 6.704
_cell_angle_alpha 90.00
_cell_angle_beta 90.80
_cell_angle_gamma 90.00
_symmetry_space_group_name_H-M 'P 1 m 1'
_symmetry_Int_Tables_number 6
_symmetry_space_group_name_Hall 'P -2y'
loop_
_atom_site_label
_atom_site_type_symbol
_atom_site_fract_x
_atom_site_fract_y
_atom_site_fract_z
Ti1 Ti 0.000 0.000 0.000
Ti2 Ti 0.046 0.500 0.639
Ti3 Ti 0.541 0.500 0.488
Fe1 Fe 0.163 0.500 0.255
Fe2 Fe 0.374 0.000 0.758
Fe3 Fe 0.484 0.000 0.142
Fe4 Fe 0.663 0.500 0.879
Fe5 Fe 0.868 0.000 0.375
P1 P 0.246 0.000 0.429
P2 P 0.304 0.500 0.950
P3 P 0.747 0.000 0.695
P4 P 0.784 0.500 0.191
```

- E_form: -915.8 meV per atom

***

What is the formula in the eleventh record?
TiFeP2

***

Which formula does entry 5 have?
TiFe2P